1.
Density functional theory data (GGA-PBE) for an optimized crystal structure of K2NiW.

Output
Offset from the most stable computed form: 0.657 eV per atom
Raw total energy: -3.737 eV per atom
Energy of formation from the pure elements: 1.495 eV/atom
Space-group type: No. 65
Magnetization: 0.0 Bohr magnetons per cell

a = 6.4091 Å, b = 6.4091 Å, c = 2.7358 Å
α = 90.00°, β = 90.00°, γ = 129.28°
With the nearest neighbours (Å) after each atom.
Fractional coordinates of all 4 atoms:
K (0.5000, 0.5000, 0.0000)  4 K 2.74-2.75
K (0.0000, 0.0000, 0.0000)  4 K 2.74-2.75
W (0.0000, 0.5000, 0.5000)  2 W 2.74, 2 Ni 2.75
Ni (0.5000, 0.0000, 0.5000)  2 Ni 2.74, 2 W 2.75

---

2.
Density functional theory data (GGA-PBE) for an optimized crystal structure of AcNd6Tm5.

Output
Raw total energy: -4.557 eV per atom
Energy of formation from the pure elements: 0.032 eV/atom
Space-group type: No. 12
Magnetization: 0.0 Bohr magnetons per cell

a = 11.9505 Å, b = 6.2924 Å, c = 6.2924 Å
α = 60.00°, β = 84.97°, γ = 79.90°
With the nearest neighbours (Å) after each atom.
Fractional coordinates of all 12 atoms:
Nd (0.2551, 0.5781, 0.3366)  5 Tm 3.55-3.66, 6 Nd 3.62-3.67, 1 Ac 3.67
Nd (0.7449, 0.0852, 0.3366)  5 Tm 3.55-3.66, 6 Nd 3.62-3.67, 1 Ac 3.67
Nd (0.2557, 0.2512, 0.0000)  5 Tm 3.55-3.66, 6 Nd 3.62-3.67, 1 Ac 3.68
Nd (0.2551, 0.9148, 0.6634)  5 Tm 3.55-3.66, 6 Nd 3.62-3.67, 1 Ac 3.67
Nd (0.7449, 0.4219, 0.6634)  5 Tm 3.55-3.66, 6 Nd 3.62-3.67, 1 Ac 3.67
Nd (0.7443, 0.7488, 0.0000)  5 Tm 3.55-3.66, 6 Nd 3.62-3.67, 1 Ac 3.68
Ac (0.0000, 0.0000, 0.0000)  6 Tm 3.63, 6 Nd 3.67-3.68
Tm (0.0000, 0.3335, 0.3331)  3 Tm 3.63, 3 Ac 3.63, 6 Nd 3.65-3.66
Tm (0.5000, 0.5000, 0.0000)  6 Nd 3.55-3.57, 6 Tm 3.63-3.64
Tm (0.5000, 0.8329, 0.3341)  6 Nd 3.55-3.57, 6 Tm 3.63-3.64
Tm (0.0000, 0.6665, 0.6669)  3 Tm 3.63, 3 Ac 3.63, 6 Nd 3.65-3.66
Tm (0.5000, 0.1671, 0.6659)  6 Nd 3.55-3.57, 6 Tm 3.63-3.64

---

3.
Density functional theory data (GGA-PBE) for an optimized crystal structure of LaSc2Ga4.

Output
Offset from the most stable computed form: 0.951 eV per atom
Raw total energy: -3.902 eV per atom
Energy of formation from the pure elements: 0.341 eV/atom
Space-group type: No. 139
Magnetization: 0.0 Bohr magnetons per cell

a = 5.4416 Å, b = 5.4416 Å, c = 8.1845 Å
α = 70.58°, β = 70.58°, γ = 90.00°
With the nearest neighbours (Å) after each atom.
Fractional coordinates of all 7 atoms:
Sc (0.5970, 0.5970, 0.8059)  1 Sc 2.80, 5 Ga 2.81-3.06
Sc (0.4030, 0.4030, 0.1941)  1 Sc 2.80, 5 Ga 2.81-3.06
Ga (0.0000, 0.5000, 0.0000)  2 La 2.72
Ga (0.2087, 0.2087, 0.5826)  1 Sc 2.81, 1 La 3.01
Ga (0.7913, 0.7913, 0.4174)  1 Sc 2.81, 1 La 3.01
Ga (0.5000, 0.0000, 0.0000)  2 La 2.72
La (0.0000, 0.0000, 0.0000)  6 Ga 2.72-3.01

---

4.
Density functional theory data (GGA-PBE) for an optimized crystal structure of ReTeMoN2.

Output
Offset from the most stable computed form: 0.000 eV per atom
Raw total energy: -7.655 eV per atom
Energy relative to the elements, uncorrected: 960 meV/atom
Space-group type: No. 123
Magnetization: 3.2 Bohr magnetons per cell

a = 3.9034 Å, b = 3.9034 Å, c = 5.7643 Å
α = 90.00°, β = 90.00°, γ = 90.00°
With the nearest neighbours (Å) after each atom.
Fractional coordinates of all 5 atoms:
Re (0.0000, 0.0000, 0.0000)  4 N 1.95
N (0.0000, 0.5000, 0.0000)  2 Re 1.95
N (0.5000, 0.0000, 0.0000)  2 Re 1.95
Te (0.0000, 0.0000, 0.5000)  4 Mo 2.76, 2 Re 2.88
Mo (0.5000, 0.5000, 0.5000)  4 Te 2.76

---

5.
Density functional theory data (GGA-PBE) for an optimized crystal structure of Th4SiPtS2.

Output
Raw total energy: -7.521 eV per atom
Energy relative to the elements, uncorrected: -1346 meV/atom
Space-group type: No. 10
Magnetization: 0.0 Bohr magnetons per cell

a = 4.1196 Å, b = 7.1348 Å, c = 7.3698 Å
α = 70.75°, β = 90.00°, γ = 90.00°
With the nearest neighbours (Å) after each atom.
Fractional coordinates of all 8 atoms:
Th (0.5000, 0.7522, 0.2523)  3 S 2.93-2.94, 2 Si 2.94, 1 Pt 2.98
Th (0.0000, 0.2547, 0.2472)  2 Pt 2.92, 1 Si 2.95, 3 S 2.96-2.97
Th (0.0000, 0.7453, 0.7528)  2 Pt 2.92, 1 Si 2.95, 3 S 2.96-2.97
Th (0.5000, 0.2478, 0.7477)  3 S 2.93-2.94, 2 Si 2.94, 1 Pt 2.98
Si (0.0000, 0.5000, 0.5000)  6 Th 2.94-2.95
Pt (0.5000, 0.5000, 0.0000)  6 Th 2.92-2.98
S (0.5000, 0.0000, 0.5000)  6 Th 2.93-2.96
S (0.0000, 0.0000, 0.0000)  6 Th 2.94-2.97

---

6.
Density functional theory data (GGA-PBE) for an optimized crystal structure of ZnGeC3.

Output
Offset from the most stable computed form: 0.245 eV per atom
Raw total energy: -3.830 eV per atom
Energy of formation from the pure elements: 2.883 eV/atom
Space-group type: No. 221
Magnetization: 0.0 Bohr magnetons per cell

a = 4.0020 Å, b = 4.0020 Å, c = 4.0020 Å
α = 90.00°, β = 90.00°, γ = 90.00°
With the nearest neighbours (Å) after each atom.
Fractional coordinates of all 5 atoms:
C (0.0000, 0.5000, 0.0000)  2 Zn 2.00
C (0.5000, 0.0000, 0.0000)  2 Zn 2.00
C (0.0000, 0.0000, 0.5000)  2 Zn 2.00
Zn (0.0000, 0.0000, 0.0000)  6 C 2.00
Ge (0.5000, 0.5000, 0.5000)  12 C 2.83

---

7.
Density functional theory data (GGA-PBE) for an optimized crystal structure of CaNdGePd.

Output
Offset from the most stable computed form: 0.000 eV per atom
Raw total energy: -4.856 eV per atom
Energy of formation from the pure elements: -0.711 eV/atom
Space-group type: No. 38
Magnetization: 0.0 Bohr magnetons per cell

a = 4.2370 Å, b = 4.3856 Å, c = 5.7753 Å
α = 90.00°, β = 111.52°, γ = 90.00°
With the nearest neighbours (Å) after each atom.
Fractional coordinates of all 4 atoms:
Nd (0.8584, 0.5000, 0.7168)  3 Ge 3.10-3.11, 4 Pd 3.15
Pd (0.4303, 0.0000, 0.8607)  2 Ge 2.66
Ca (0.1411, 0.0000, 0.2822)  3 Pd 3.10-3.11, 4 Ge 3.14
Ge (0.5702, 0.5000, 0.1404)  2 Pd 2.66

---

8.
Density functional theory data (GGA-PBE) for an optimized crystal structure of Ga3CuGe.

Output
Offset from the most stable computed form: 0.378 eV per atom
Raw total energy: -2.890 eV per atom
Energy of formation from the pure elements: 0.669 eV/atom
Space-group type: No. 221
Magnetization: 0.0 Bohr magnetons per cell

a = 4.9522 Å, b = 4.9522 Å, c = 4.9522 Å
α = 90.00°, β = 90.00°, γ = 90.00°
With the nearest neighbours (Å) after each atom.
Fractional coordinates of all 5 atoms:
Ga (0.0000, 0.5000, 0.0000)  2 Ge 2.48
Ga (0.0000, 0.0000, 0.5000)  2 Ge 2.48
Ga (0.5000, 0.0000, 0.0000)  2 Ge 2.48
Cu (0.5000, 0.5000, 0.5000)  12 Ga 3.50
Ge (0.0000, 0.0000, 0.0000)  6 Ga 2.48